First-principles (GGA-PBE) data for a relaxed PrTlCd crystal, as listed in the Alexandria database.

Calculated values
Density of states at the Fermi level (states/eV/f.u.): 2.73
E_form (eV per atom): -0.229
Total energy (eV/atom): -2.916
Symmetry: I4mm (107)

Cell: 3.719 3.719 6.634 Å, 106.28 106.28 90.00°
Atoms (fractional coordinates):
1 Cd 0.325 0.325 0.650
2 Tl 0.678 0.678 0.355
3 Pr 0.997 0.997 0.995